(1)
A relaxed structure of SmGa2Tc2P. Source: Alexandria via LeMat-Bulk, functional PBE-GGA.

Calculated values
* crystal system: tetragonal
* Fermi-level density of states: 1.7 states/eV per cell
* energy of formation: -0.477 eV per atom

```
6
Lattice="-1.351 -1.167 -4.074 3.723 -2.370 -0.556 -2.562 -4.529 2.148" Properties=species:S:1:pos:R:3 pbc="T T T"
Ga -0.677 -5.062 -0.753
Ga 0.487 -3.004 -1.729
Tc -0.676 -0.584 -2.037
P 0.000 0.000 0.000
Tc 1.861 -1.185 -0.278
Sm -1.281 -2.265 1.074
```


(2)
A relaxed structure of Ga2SnP2. Source: Alexandria via LeMat-Bulk, functional PBE-GGA.

Calculated values
* crystal system: tetragonal
* Fermi-level density of states: 1.9 states/eV per cell
* energy of formation: 0.126 eV per atom

```
5
Lattice="-2.952 -1.192 -3.544 3.468 -2.563 -2.026 -1.021 -5.382 -0.541" Properties=species:S:1:pos:R:3 pbc="T T T"
Sn 0.000 0.000 0.000
Ga -0.395 -6.251 -3.972
P -1.858 -4.226 -3.435
Ga -0.110 -2.886 -2.140
P 1.352 -4.911 -2.676
```